Entry 1:
Below is PrSm2Hf after structural relaxation, with properties calculated at the GGA-PBE level.

a = 4.945 Å, b = 4.945 Å, c = 4.981 Å
α = 90.00°, β = 90.00°, γ = 90.00°
Space group P4/mmm (No. 123)
Symmetry-distinct sites (fractional):
Pr (0.000, 0.000, 0.000) x1
Sm (0.000, 0.500, 0.500) x2
Hf (0.500, 0.500, 0.000) x1

Results
E above lowest polymorph, meV per atom: 0
Total DFT energy (no corrections), eV for the cell shown: -23.4
ΔE_f, eV/atom: 0.18



Entry 2:
Below is Pr2SmHf after structural relaxation, with properties calculated at the GGA-PBE level.

a = 3.5130 Å, b = 3.5130 Å, c = 34.9353 Å
α = 90.00°, β = 90.00°, γ = 120.00°
Space group R-3m (No. 166, hexagonal axes)
Symmetry-distinct sites (fractional):
Pr (0.0000, 0.0000, 0.2436) x6
Sm (0.0000, 0.0000, 0.0000) x3
Hf (0.0000, 0.0000, 0.5000) x3

Results
E above lowest polymorph, meV per atom: 0
Total DFT energy (no corrections), eV for the cell shown: -70.5
ΔE_f, eV/atom: 0.18



Entry 3:
Below is PrHfSn after structural relaxation, with properties calculated at the GGA-PBE level.

a = 4.451 Å, b = 4.451 Å, c = 8.450 Å
α = 90.00°, β = 90.00°, γ = 90.00°
Space group P4/nmm (No. 129, origin choice 2)
Symmetry-distinct sites (fractional):
Pr (0.250, 0.250, 0.157) x2
Hf (0.250, 0.750, 0.500) x2
Sn (0.250, 0.250, 0.750) x2

Results
Total DFT energy (no corrections), eV for the cell shown: -40.4
ΔE_f, eV/atom: -0.49



Entry 4:
Below is PrHf2Ta after structural relaxation, with properties calculated at the GGA-PBE level.

a = 3.1720 Å, b = 3.1720 Å, c = 33.4792 Å
α = 90.00°, β = 90.00°, γ = 120.00°
Space group R-3m (No. 166, hexagonal axes)
Symmetry-distinct sites (fractional):
Pr (0.0000, 0.0000, 0.0000) x3
Hf (0.0000, 0.0000, 0.0963) x6
Ta (0.0000, 0.0000, 0.5000) x3

Results
Total DFT energy (no corrections), eV for the cell shown: -105.3
ΔE_f, eV/atom: 0.36



Entry 5:
Below is PrHf2Tc after structural relaxation, with properties calculated at the GGA-PBE level.

a = 3.326 Å, b = 3.326 Å, c = 8.293 Å
α = 90.00°, β = 90.00°, γ = 90.00°
Space group P4/mmm (No. 123)
Symmetry-distinct sites (fractional):
Pr (0.000, 0.000, 0.000) x1
Hf (0.500, 0.500, 0.316) x2
Tc (0.000, 0.000, 0.500) x1

Results
Total DFT energy (no corrections), eV for the cell shown: -35.7
ΔE_f, eV/atom: -0.16



Entry 6:
Below is Pr2HfTe5 after structural relaxation, with properties calculated at the GGA-PBE level.

a = 6.053 Å, b = 15.130 Å, c = 14.548 Å
α = 90.00°, β = 90.00°, γ = 90.00°
Space group Cmcm (No. 63)
Symmetry-distinct sites (fractional):
Pr (0.000, 0.152, 0.062) x8
Hf (0.000, 0.185, 0.750) x4
Te (0.000, 0.046, 0.623) x8
Te (0.000, 0.278, 0.250) x4
Te (0.000, 0.309, 0.593) x8

Results
Formation energy from raw total energies, eV per formula unit: -8.51
Total DFT energy (no corrections), eV for the cell shown: -174.9



Entry 7:
Below is PrHfTe2 after structural relaxation, with properties calculated at the GGA-PBE level.

a = 3.9247 Å, b = 3.9247 Å, c = 29.9495 Å
α = 90.00°, β = 90.00°, γ = 120.00°
Space group R-3m (No. 166, hexagonal axes)
Symmetry-distinct sites (fractional):
Pr (0.0000, 0.0000, 0.0000) x3
Hf (0.0000, 0.0000, 0.5000) x3
Te (0.0000, 0.0000, 0.1066) x6

Results
Formation energy from raw total energies, eV per formula unit: -2.29
Total DFT energy (no corrections), eV for the cell shown: -69.9



Entry 8:
Below is PrHfTh after structural relaxation, with properties calculated at the GGA-PBE level.

a = 3.712 Å, b = 3.712 Å, c = 13.065 Å
α = 90.00°, β = 90.00°, γ = 90.00°
Space group P4/nmm (No. 129, origin choice 2)
Symmetry-distinct sites (fractional):
Pr (0.250, 0.250, 0.112) x2
Hf (0.250, 0.250, 0.439) x2
Th (0.250, 0.250, 0.710) x2

Results
E above lowest polymorph, meV per atom: 0
Total DFT energy (no corrections), eV for the cell shown: -43.6
ΔE_f, eV/atom: 0.11



Entry 9:
Below is PrHfTh after structural relaxation, with properties calculated at the GGA-PBE level.

a = 3.4712 Å, b = 3.4712 Å, c = 8.4324 Å
α = 90.00°, β = 90.00°, γ = 120.00°
Space group P3m1 (No. 156)
Symmetry-distinct sites (fractional):
Pr (0.0000, 0.0000, 0.0000) x1
Hf (0.6667, 0.3333, 0.3371) x1
Th (0.3333, 0.6667, 0.6457) x1

Results
E above lowest polymorph, meV per atom: 79
Total DFT energy (no corrections), eV for the cell shown: -21.6
ΔE_f, eV/atom: 0.19



Entry 10:
Below is PrHfTh after structural relaxation, with properties calculated at the GGA-PBE level.

a = 3.409 Å, b = 3.409 Å, c = 15.394 Å
α = 90.00°, β = 90.00°, γ = 90.00°
Space group I4mm (No. 107)
Symmetry-distinct sites (fractional):
Pr (0.000, 0.000, 0.000) x2
Hf (0.000, 0.000, 0.339) x2
Th (0.000, 0.000, 0.688) x2

Results
E above lowest polymorph, meV per atom: 61
Total DFT energy (no corrections), eV for the cell shown: -43.3
ΔE_f, eV/atom: 0.17



Entry 11:
Below is PrTmHfTh after structural relaxation, with properties calculated at the GGA-PBE level.

a = 7.774 Å, b = 7.774 Å, c = 7.774 Å
α = 90.00°, β = 90.00°, γ = 90.00°
Space group F-43m (No. 216)
Symmetry-distinct sites (fractional):
Pr (0.000, 0.000, 0.000) x4
Tm (0.250, 0.250, 0.250) x4
Hf (0.250, 0.250, 0.750) x4
Th (0.000, 0.000, 0.500) x4

Results
Total DFT energy (no corrections), eV for the cell shown: -103.2
ΔE_f, eV/atom: 0.20



Entry 12:
Below is PrHfTl2 after structural relaxation, with properties calculated at the GGA-PBE level.

a = 3.824 Å, b = 3.824 Å, c = 7.171 Å
α = 90.00°, β = 90.00°, γ = 90.00°
Space group P4/mmm (No. 123)
Symmetry-distinct sites (fractional):
Pr (0.000, 0.000, 0.000) x1
Hf (0.000, 0.000, 0.500) x1
Tl (0.500, 0.500, 0.278) x2

Results
E above lowest polymorph, meV per atom: 0
Total DFT energy (no corrections), eV for the cell shown: -19.6
ΔE_f, eV/atom: -0.04